A plane-wave DFT calculation with GGA-PBE was carried out for a relaxed Li3Pa2GaN6 crystal.

Structure (POSCAR):
```
Li3Pa2GaN6
1.0
-2.335 5.463 0.802
-0.102 -3.083 -5.140
-3.903 -2.689 2.400
Ga N Pa Li
1 6 2 3
direct
0.000 0.000 0.000
0.252 0.252 0.775
0.598 0.924 0.778
0.402 0.076 0.222
0.076 0.402 0.222
0.924 0.598 0.778
0.748 0.748 0.225
0.662 0.338 0.000
0.338 0.662 0.000
0.500 0.500 0.500
0.131 0.869 0.500
0.869 0.131 0.500
```

Values from the calculation:
Formation energy (no corrections), eV/atom: -0.69
Crystal system: monoclinic